Density functional theory data (PBE-GGA) for an optimized crystal structure of NaSi3Rh.

The formation energy from raw total energies comes out at 8.9 eV per formula unit. Its energy is -3.2177 eV per atom. The value obtained for the relative energy among the computed polymorphs is 1420 meV per atom. The space group is Pm-3m, No. 221.

POSCAR file:
```
NaSi3Rh
1.0
-2.890 -0.600 3.655
-1.998 -3.651 -2.179
3.119 -2.895 1.991
Si Rh Na
3 1 1
Direct
0.500 0.000 0.000
0.000 0.500 0.000
0.000 0.000 0.500
0.500 0.500 0.500
0.000 0.000 0.000
```